No. 1
CdSiMo2: relaxed, GGA-PBE.

Geometry as CIF:
```
data_CdSiMo2
_chemical_formula_sum 'Cd2 Si2 Mo4'
_cell_length_a 4.043
_cell_length_b 4.043
_cell_length_c 7.841
_cell_angle_alpha 90.00
_cell_angle_beta 90.00
_cell_angle_gamma 90.00
_space_group_name_H-M_alt 'I -4 m 2'
_space_group_IT_number 119
_space_group_name_Hall 'I -4 -2'
loop_
_atom_site_label
_atom_site_type_symbol
_atom_site_fract_x
_atom_site_fract_y
_atom_site_fract_z
Cd1 Cd 0.000 0.000 0.000
Si1 Si 0.000 0.500 0.250
Mo1 Mo 0.000 0.000 0.500
Mo2 Mo 0.000 0.500 0.750
```

Computed properties:
- Polymorph energy (0 for the lowest one): 209 meV/atom
- Total magnetization: 0.0 μB per cell

***

No. 2
LaPm3Y6Tm2: relaxed, GGA-PBE.

Geometry as CIF:
```
data_LaPm3Y6Tm2
_chemical_formula_sum 'La2 Pm6 Y12 Tm4'
_cell_length_a 6.225
_cell_length_b 10.778
_cell_length_c 11.891
_cell_angle_alpha 90.00
_cell_angle_beta 100.01
_cell_angle_gamma 90.00
_space_group_name_H-M_alt 'C 1 2/m 1'
_space_group_IT_number 12
_space_group_name_Hall '-C 2y'
loop_
_atom_site_label
_atom_site_type_symbol
_atom_site_fract_x
_atom_site_fract_y
_atom_site_fract_z
La1 La 0.000 0.000 0.000
Pm1 Pm 0.000 0.167 0.500
Pm2 Pm 0.000 0.500 0.500
Y1 Y 0.248 0.500 0.249
Y2 Y 0.249 0.333 0.751
Tm1 Tm 0.000 0.333 0.000
```

Computed properties:
- Total magnetization: 0.0 μB per cell
- Formation enthalpy at 0 K: 0.02 eV per atom

***

No. 3
Bi4TePt2: relaxed, GGA-PBE.

Geometry as CIF:
```
data_Bi4TePt2
_chemical_formula_sum 'Bi32 Te8 Pt16'
_cell_length_a 12.306
_cell_length_b 12.337
_cell_length_c 12.393
_cell_angle_alpha 90.00
_cell_angle_beta 90.00
_cell_angle_gamma 90.00
_space_group_name_H-M_alt 'F d d 2'
_space_group_IT_number 43
_space_group_name_Hall 'F 2 -2d'
loop_
_atom_site_label
_atom_site_type_symbol
_atom_site_fract_x
_atom_site_fract_y
_atom_site_fract_z
Bi1 Bi 0.100 0.400 0.000
Bi2 Bi 0.101 0.100 0.301
Te1 Te 0.000 0.000 0.900
Pt1 Pt 0.125 0.125 0.526
```

Computed properties:
- E_tot: -4.559 eV/atom
- Total magnetization: 0.0 μB per cell

***

No. 4
Sr2ScVSn: relaxed, GGA-PBE.

Geometry as CIF:
```
data_Sr2ScVSn
_chemical_formula_sum 'Sr2 Sc1 V1 Sn1'
_cell_length_a 6.043
_cell_length_b 6.043
_cell_length_c 5.399
_cell_angle_alpha 90.00
_cell_angle_beta 90.00
_cell_angle_gamma 90.00
_space_group_name_H-M_alt 'P 4/m m m'
_space_group_IT_number 123
_space_group_name_Hall '-P 4 2'
loop_
_atom_site_label
_atom_site_type_symbol
_atom_site_fract_x
_atom_site_fract_y
_atom_site_fract_z
Sr1 Sr 0.000 0.500 0.000
Sc1 Sc 0.000 0.000 0.000
V1 V 0.500 0.500 0.500
Sn1 Sn 0.000 0.000 0.500
```

Computed properties:
- Total magnetization: 1.5 μB per cell
- Formation enthalpy at 0 K: 1.21 eV per atom

***

No. 5
Y12TmCo6: relaxed, GGA-PBE.

Geometry as CIF:
```
data_Y12TmCo6
_chemical_formula_sum 'Y24 Tm2 Co12'
_cell_length_a 9.808
_cell_length_b 9.808
_cell_length_c 9.808
_cell_angle_alpha 90.00
_cell_angle_beta 90.00
_cell_angle_gamma 90.00
_space_group_name_H-M_alt 'I m -3'
_space_group_IT_number 204
_space_group_name_Hall '-I 2 2 3'
loop_
_atom_site_label
_atom_site_type_symbol
_atom_site_fract_x
_atom_site_fract_y
_atom_site_fract_z
Y1 Y 0.000 0.308 0.194
Tm1 Tm 0.000 0.000 0.000
Co1 Co 0.000 0.113 0.500
```

Computed properties:
- Total magnetization: 0.0 μB per cell
- Formation enthalpy at 0 K: -0.12 eV per atom

***

No. 6
NaVZn: relaxed, GGA-PBE.

Geometry as CIF:
```
data_NaVZn
_chemical_formula_sum 'Na2 V2 Zn2'
_cell_length_a 4.8945
_cell_length_b 4.8945
_cell_length_c 5.4938
_cell_angle_alpha 90.00
_cell_angle_beta 90.00
_cell_angle_gamma 120.00
_space_group_name_H-M_alt 'P 63/m m c'
_space_group_IT_number 194
_space_group_name_Hall '-P 6c 2c'
loop_
_atom_site_label
_atom_site_type_symbol
_atom_site_fract_x
_atom_site_fract_y
_atom_site_fract_z
Na1 Na 0.0000 0.0000 0.0000
V1 V 0.3333 0.6667 0.2500
Zn1 Zn 0.3333 0.6667 0.7500
```

Computed properties:
- Polymorph energy (0 for the lowest one): 514 meV/atom
- Total magnetization: 6.6 μB per cell
- Formation enthalpy at 0 K: 0.65 eV per atom

***

No. 7
Ti3Cu2O: relaxed, GGA-PBE.

Geometry as CIF:
```
data_Ti3Cu2O
_chemical_formula_sum 'Ti12 Cu8 O4'
_cell_length_a 6.736
_cell_length_b 6.736
_cell_length_c 6.736
_cell_angle_alpha 90.00
_cell_angle_beta 90.00
_cell_angle_gamma 90.00
_space_group_name_H-M_alt 'P 41 3 2'
_space_group_IT_number 213
_space_group_name_Hall 'P 4bd 2ab 3'
loop_
_atom_site_label
_atom_site_type_symbol
_atom_site_fract_x
_atom_site_fract_y
_atom_site_fract_z
Ti1 Ti 0.043 0.125 0.793
Cu1 Cu 0.070 0.930 0.430
O1 O 0.125 0.375 0.625
```

Computed properties:
- E_tot: -7.090 eV/atom
- Total magnetization: 0.0 μB per cell

***

No. 8
GaNiTe2I: relaxed, GGA-PBE.

Geometry as CIF:
```
data_GaNiTe2I
_chemical_formula_sum 'Ga1 Ni1 Te2 I1'
_cell_length_a 5.062
_cell_length_b 5.062
_cell_length_c 5.600
_cell_angle_alpha 90.00
_cell_angle_beta 90.00
_cell_angle_gamma 90.00
_space_group_name_H-M_alt 'P 4/m m m'
_space_group_IT_number 123
_space_group_name_Hall '-P 4 2'
loop_
_atom_site_label
_atom_site_type_symbol
_atom_site_fract_x
_atom_site_fract_y
_atom_site_fract_z
Ga1 Ga 0.000 0.000 0.000
Ni1 Ni 0.500 0.500 0.500
Te1 Te 0.000 0.500 0.500
I1 I 0.500 0.500 0.000
```

Computed properties:
- Polymorph energy (0 for the lowest one): 0 meV/atom
- Total magnetization: 0.0 μB per cell

***

No. 9
KMn2Pb: relaxed, GGA-PBE.

Geometry as CIF:
```
data_KMn2Pb
_chemical_formula_sum 'K2 Mn4 Pb2'
_cell_length_a 9.868
_cell_length_b 3.195
_cell_length_c 6.985
_cell_angle_alpha 90.00
_cell_angle_beta 95.91
_cell_angle_gamma 90.00
_space_group_name_H-M_alt 'C 1 2/m 1'
_space_group_IT_number 12
_space_group_name_Hall '-C 2y'
loop_
_atom_site_label
_atom_site_type_symbol
_atom_site_fract_x
_atom_site_fract_y
_atom_site_fract_z
K1 K 0.000 0.000 0.000
Mn1 Mn 0.237 0.000 0.649
Pb1 Pb 0.000 0.500 0.500
```

Computed properties:
- Polymorph energy (0 for the lowest one): 154 meV/atom
- Total magnetization: 15.5 μB per cell
- Formation enthalpy at 0 K: 0.66 eV per atom

***

No. 10
Nd4SmHo3S8: relaxed, GGA-PBE.

Geometry as CIF:
```
data_Nd4SmHo3S8
_chemical_formula_sum 'Nd12 Sm3 Ho9 S24'
_cell_length_a 7.9345
_cell_length_b 7.9345
_cell_length_c 19.8475
_cell_angle_alpha 90.00
_cell_angle_beta 90.00
_cell_angle_gamma 120.00
_space_group_name_H-M_alt 'R -3 m'
_space_group_IT_number 166
_space_group_name_Hall '-R 3 2"'
loop_
_atom_site_label
_atom_site_type_symbol
_atom_site_fract_x
_atom_site_fract_y
_atom_site_fract_z
Nd1 Nd 0.0000 0.0000 0.0000
Nd2 Nd 0.0000 0.5000 0.0000
Sm1 Sm 0.0000 0.0000 0.5000
Ho1 Ho 0.0000 0.5000 0.5000
S1 S 0.0000 0.0000 0.2438
S2 S 0.0058 0.5029 0.7549
```

Computed properties:
- E_tot: -6.415 eV/atom
- Total magnetization: 0.0 μB per cell

***

No. 11
NiRhAu2: relaxed, GGA-PBE.

Geometry as CIF:
```
data_NiRhAu2
_chemical_formula_sum 'Ni1 Rh1 Au2'
_cell_length_a 4.697
_cell_length_b 4.697
_cell_length_c 2.820
_cell_angle_alpha 90.00
_cell_angle_beta 90.00
_cell_angle_gamma 90.00
_space_group_name_H-M_alt 'P 4/m m m'
_space_group_IT_number 123
_space_group_name_Hall '-P 4 2'
loop_
_atom_site_label
_atom_site_type_symbol
_atom_site_fract_x
_atom_site_fract_y
_atom_site_fract_z
Ni1 Ni 0.000 0.000 0.000
Rh1 Rh 0.500 0.500 0.000
Au1 Au 0.000 0.500 0.500
```

Computed properties:
- Polymorph energy (0 for the lowest one): 121 meV/atom
- Total magnetization: 0.8 μB per cell
- Formation enthalpy at 0 K: 0.21 eV per atom

***

No. 12
Ta2TcAg: relaxed, GGA-PBE.

Geometry as CIF:
```
data_Ta2TcAg
_chemical_formula_sum 'Ta4 Tc2 Ag2'
_cell_length_a 3.234
_cell_length_b 4.605
_cell_length_c 9.272
_cell_angle_alpha 90.00
_cell_angle_beta 90.00
_cell_angle_gamma 90.00
_space_group_name_H-M_alt 'C m m 2'
_space_group_IT_number 35
_space_group_name_Hall 'C 2 -2'
loop_
_atom_site_label
_atom_site_type_symbol
_atom_site_fract_x
_atom_site_fract_y
_atom_site_fract_z
Ta1 Ta 0.000 0.000 0.000
Ta2 Ta 0.000 0.500 0.258
Tc1 Tc 0.000 0.500 0.776
Ag1 Ag 0.000 0.000 0.518
```

Computed properties:
- Polymorph energy (0 for the lowest one): 76 meV/atom
- Total magnetization: 0.0 μB per cell
- Formation enthalpy at 0 K: 0.14 eV per atom

***

| no. | density of states at the Fermi level (states/eV/f.u.) |
| --- | --- |
| 1 | 2.20 |
| 2 | 16.57 |
| 3 | 6.48 |
| 4 | 7.00 |
| 5 | 17.89 |
| 6 | 4.09 |
| 7 | 6.02 |
| 8 | 5.83 |
| 9 | 3.76 |
| 10 | 7.46 |
| 11 | 4.69 |
| 12 | 2.82 |